Computed, not measured: a geometry-optimized LaSbRh2 structure at the GGA-PBEsol level of DFT.

formation energy (no corrections) = -0.484 eV/atom
final energy = -28.12 eV/cell

a = 3.729 Å, b = 3.927 Å, c = 5.520 Å
α = 90.00°, β = 90.00°, γ = 90.00°
Space group Pmm2 (No. 25)
One atom of each set of equivalent atoms:
La1 0.000 0.000 0.000 x1
Sb1 0.500 0.500 0.371 x1
Rh1 0.000 0.000 0.502 x1
Rh2 0.500 0.500 0.845 x1